1.
DFT (GGA-PBE) results for NdB4Mo after structural relaxation.

Summary:
* raw total energy: -0.267 Ha/atom
* polymorph energy (0 for the lowest one): 175.5 meV/atom
* crystal system: orthorhombic

Cell: 3.196 5.530 7.376 Å, 90.00 90.00 90.00°
Space group Immm (No. 71)
Asymmetric unit:
Nd 0.000 0.000 0.000 [2 per cell]
B 0.000 0.339 0.244 [8 per cell]
Mo 0.000 0.000 0.500 [2 per cell]



2.
DFT (GGA-PBE) results for TbNdSi2BMo2 after structural relaxation.

Summary:
* raw total energy: -0.273 Ha/atom
* crystal system: monoclinic

Cell: 11.161 3.998 7.205 Å, 90.00 124.97 90.00°
Space group Cm (No. 8)
Asymmetric unit:
Tb 0.000 0.000 0.000 [2 per cell]
Nd 0.346 0.500 0.391 [2 per cell]
Si 0.055 0.500 0.360 [2 per cell]
Si 0.293 0.000 0.028 [2 per cell]
B 0.427 0.000 0.704 [2 per cell]
Mo 0.140 0.500 0.781 [2 per cell]
Mo 0.210 0.000 0.613 [2 per cell]



3.
DFT (GGA-PBE) results for Nd2Si2BMoW after structural relaxation.

Summary:
* raw total energy: -0.283 Ha/atom
* crystal system: monoclinic

Cell: 11.212 4.050 7.283 Å, 90.00 125.04 90.00°
Space group Cm (No. 8)
Asymmetric unit:
Nd 0.000 0.000 0.000 [2 per cell]
Nd 0.155 0.000 0.613 [2 per cell]
Si 0.210 0.500 0.976 [2 per cell]
Si 0.444 0.000 0.636 [2 per cell]
B 0.078 0.500 0.307 [2 per cell]
Mo 0.362 0.000 0.223 [2 per cell]
W 0.294 0.500 0.388 [2 per cell]